A plane-wave DFT calculation with meta-GGA SCAN was carried out for LaAl3O6 at its PBEsol-relaxed geometry.

Unit cell a=6.9578 b=6.9578 c=6.2184 alpha=111.88 beta=111.88 gamma=78.76
Closest atoms and distances in Å follow each position.
Element x y z (fractional)
La  0.1852  0.8148  0.7500  4 O 2.35-2.52
La  0.8148  0.1852  0.2500  4 O 2.35-2.52
Al  0.1898  0.8102  0.2500  4 O 1.72-1.76
Al  0.2390  0.3547  0.8224  4 O 1.75-1.82
Al  0.3547  0.2390  0.3224  4 O 1.75-1.82
Al  0.6453  0.7610  0.6776  4 O 1.75-1.82
Al  0.7610  0.6453  0.1776  4 O 1.75-1.82
Al  0.8102  0.1898  0.7500  4 O 1.72-1.76
O  0.0323  0.1874  0.6781  2 Al 1.76-1.77
O  0.1793  0.6137  0.9774  2 Al 1.72-1.75
O  0.1874  0.0323  0.1781  2 Al 1.76-1.77
O  0.2565  0.4041  0.5632  2 Al 1.79-1.82
O  0.3863  0.8207  0.5226  2 Al 1.72-1.75
O  0.4041  0.2565  0.0632  2 Al 1.79-1.82
O  0.5959  0.7435  0.9368  2 Al 1.79-1.82
O  0.6137  0.1793  0.4774  2 Al 1.72-1.75
O  0.7435  0.5959  0.4368  2 Al 1.79-1.82
O  0.8126  0.9677  0.8219  2 Al 1.76-1.77
O  0.8207  0.3863  0.0226  2 Al 1.72-1.75
O  0.9677  0.8126  0.3219  2 Al 1.76-1.77

Space group ... C2/c
DFT total energy ... -275.8 eV for the cell shown
E_form (uncorrected) ... -3.416 eV per atom